A relaxed structure of Sc2Ga4IrPd, computed with PBE.

```
Sc2Ga4IrPd
1.0
6.601 0.000 0.000
0.000 2.111 4.902
0.000 -2.111 4.902
Sc Ga Ir Pd
2 4 1 1
Cartesian
0.000 0.000 0.000
3.301 0.000 1.588
1.323 0.000 6.978
1.975 0.000 4.426
4.626 0.000 4.426
5.279 0.000 6.978
3.301 0.000 8.596
0.000 0.000 2.799
```

Calculated values
SG: Amm2, No. 38

=====

A relaxed structure of NdLuTl, computed with PBE.

```
NdLuTl
1.0
0.000 3.674 3.674
3.674 0.000 3.674
3.674 3.674 0.000
Nd Lu Tl
1 1 1
Cartesian
0.000 0.000 0.000
3.674 3.674 3.674
5.512 5.512 5.512
```

Calculated values
SG: F-43m, No. 216

=====

A relaxed structure of CoTcPbW, computed with PBE.

```
CoTcPbW
1.0
0.000 3.178 3.178
3.178 0.000 3.178
3.178 3.178 0.000
Co Tc Pb W
1 1 1 1
Cartesian
0.000 0.000 0.000
3.178 3.178 3.178
4.768 4.768 4.768
1.589 1.589 1.589
```

Calculated values
SG: F-43m, No. 216

=====

A relaxed structure of MgBeZnPb, computed with PBE.

```
MgBeZnPb
1.0
0.000 3.406 3.406
3.406 0.000 3.406
3.406 3.406 0.000
Mg Be Zn Pb
1 1 1 1
Cartesian
0.000 0.000 0.000
1.703 1.703 1.703
5.110 5.110 5.110
3.406 3.406 3.406
```

Calculated values
SG: F-43m, No. 216

=====

A relaxed structure of NaTbI4, computed with PBE.

```
NaTbI4
1.0
7.257 0.000 0.000
0.000 8.956 0.000
-0.294 0.000 7.738
Na Tb I
2 2 8
Cartesian
-0.073 1.210 1.935
-0.220 7.746 5.804
3.408 3.180 5.804
3.555 5.776 1.935
1.665 1.112 4.563
1.812 7.844 0.694
1.892 3.530 0.514
1.745 5.425 4.383
5.218 3.530 3.355
5.071 5.425 7.224
5.151 1.112 7.044
5.298 7.844 3.175
```

Calculated values
SG: P2/c, No. 13

=====

A relaxed structure of ScInFeNi, computed with PBE.

```
ScInFeNi
1.0
0.000 3.184 3.184
3.184 0.000 3.184
3.184 3.184 0.000
Sc In Fe Ni
1 1 1 1
Cartesian
0.000 0.000 0.000
1.592 1.592 1.592
4.777 4.777 4.777
3.184 3.184 3.184
```

Calculated values
SG: F-43m, No. 216

=====

| no. | raw total energy (eV/atom) |
| --- | --- |
| 1 | -5.588 |
| 2 | -3.905 |
| 3 | -7.962 |
| 4 | -2.150 |
| 5 | -3.351 |
| 6 | -5.710 |